Record 1
First-principles (PBE) data for a geometry-optimized Pa2P2Pd structure, as listed in Alexandria via LeMat-Bulk.

Lattice parameters (Å, degrees): 3.9779 5.6188 9.9122 106.64 90.00 90.00
With the nearest neighbours (Å) after each atom.
Fractional coordinates of all 10 atoms:
1 Pd 0.7500 0.7969 0.9391  3 P 2.52-2.57
2 Pd 0.2500 0.2031 0.0609  3 P 2.52-2.57
3 Pa 0.7500 0.7996 0.6039  6 P 2.80-2.82
4 Pa 0.7500 0.5838 0.1869  4 P 2.75-2.87, 3 Pd 2.93-3.02
5 Pa 0.2500 0.4162 0.8131  4 P 2.75-2.87, 3 Pd 2.93-3.02
6 Pa 0.2500 0.2004 0.3961  6 P 2.80-2.82
7 P 0.7500 0.0741 0.1885  3 Pd 2.52-2.57, 3 Pa 2.75-2.80
8 P 0.2500 0.7017 0.3940  6 Pa 2.80-2.82
9 P 0.7500 0.2983 0.6060  6 Pa 2.80-2.82
10 P 0.2500 0.9259 0.8115  3 Pd 2.52-2.57, 3 Pa 2.75-2.80

Properties
Its crystal system is monoclinic. Its formation energy is -985 meV/atom.

Record 2
First-principles (PBE) data for a geometry-optimized ReSeCl2 structure, as listed in Alexandria via LeMat-Bulk.

Lattice parameters (Å, degrees): 3.2982 3.2982 8.6738 79.21 79.21 60.00
With the nearest neighbours (Å) after each atom.
Fractional coordinates of all 4 atoms:
1 Se 0.2368 0.2368 0.2887  3 Re 2.50, 2 Cl 2.80
2 Cl 0.9827 0.9827 0.0459  3 Se 2.80
3 Cl 0.7732 0.7732 0.6850  3 Re 2.57
4 Re 0.5072 0.5072 0.4804  3 Se 2.50, 3 Cl 2.57

Properties
The uncorrected formation energy is 0.073 eV/atom. Its crystal system is monoclinic.

Record 3
First-principles (PBE) data for a geometry-optimized ErNiSn structure, as listed in Alexandria via LeMat-Bulk.

Lattice parameters (Å, degrees): 4.4453 7.0773 7.6648 90.00 90.00 90.00
With the nearest neighbours (Å) after each atom.
Fractional coordinates of all 12 atoms:
1 Er 0.2500 0.5138 0.6997  5 Ni 2.97-3.24, 6 Sn 3.11-3.20
2 Er 0.7500 0.4862 0.3003  5 Ni 2.97-3.24, 6 Sn 3.11-3.20
3 Er 0.7500 0.9862 0.1997  5 Ni 2.97-3.24, 6 Sn 3.11-3.20
4 Er 0.2500 0.0138 0.8003  5 Ni 2.97-3.24, 6 Sn 3.11-3.20
5 Ni 0.2500 0.2954 0.0873  4 Sn 2.59-2.77
6 Ni 0.7500 0.7046 0.9127  4 Sn 2.59-2.77
7 Ni 0.2500 0.7954 0.4127  4 Sn 2.59-2.77
8 Ni 0.7500 0.2046 0.5873  4 Sn 2.59-2.77
9 Sn 0.7500 0.3130 0.9145  4 Ni 2.59-2.77
10 Sn 0.2500 0.1870 0.4145  4 Ni 2.59-2.77
11 Sn 0.7500 0.8130 0.5855  4 Ni 2.59-2.77
12 Sn 0.2500 0.6870 0.0855  4 Ni 2.59-2.77

Properties
Its crystal system is orthorhombic. Its formation energy is -673 meV/atom.

Record 4
First-principles (PBE) data for a geometry-optimized Ir2Rh2W structure, as listed in Alexandria via LeMat-Bulk.

Lattice parameters (Å, degrees): 3.5772 3.5772 6.8179 105.21 105.21 90.00
With the nearest neighbours (Å) after each atom.
Fractional coordinates of all 5 atoms:
1 Rh 0.4020 0.4020 0.8039  1 Rh 2.48, 4 Ir 2.63
2 Rh 0.5980 0.5980 0.1961  1 Rh 2.48, 4 Ir 2.63
3 Ir 0.2500 0.7500 0.5000  4 Ir 2.53, 4 Rh 2.63
4 Ir 0.7500 0.2500 0.5000  4 Ir 2.53, 4 Rh 2.63
5 W 0.0000 0.0000 0.0000  8 Rh 2.82

Properties
Its crystal system is tetragonal. Its formation energy is 567 meV/atom.

no.,uncorrected energy (eV/atom)
1,-7.986
2,-4.834
3,-5.456
4,-8.509